Crystalline Tm2Co5NiB2 at its relaxed geometry, computed with PBE-GGA.

Properties
Electronic total energy (eV/atom): -6.652

Structure (CIF):
```
data_Tm2Co5NiB2
_symmetry_space_group_name_H-M 'P 4/m b m'
_symmetry_Int_Tables_number 127
_symmetry_space_group_name_Hall '-P 4 2ab'
_cell_length_a 8.8405
_cell_length_b 8.8405
_cell_length_c 3.0508
_cell_angle_alpha 90.00
_cell_angle_beta 90.00
_cell_angle_gamma 90.00
loop_
_atom_site_label
_atom_site_type_symbol
_atom_site_fract_x
_atom_site_fract_y
_atom_site_fract_z
_atom_site_occupancy
Tm1 Tm 0.1780 0.3220 0.0000 1
Co1 Co 0.0000 0.5000 0.5000 1
Co2 Co 0.0676 0.7764 0.5000 1
Ni1 Ni 0.0000 0.0000 0.0000 1
B1 B 0.1182 0.6182 0.0000 1
```

***

Crystalline Tm2CoNi12B3 at its relaxed geometry, computed with PBE-GGA.

Properties
Electronic total energy (eV/atom): -5.879

Structure (CIF):
```
data_Tm2CoNi12B3
_symmetry_space_group_name_H-M 'R -3 m'
_symmetry_Int_Tables_number 166
_symmetry_space_group_name_Hall '-R 3 2"'
_cell_length_a 7.0663
_cell_length_b 7.0663
_cell_length_c 15.8778
_cell_angle_alpha 90.00
_cell_angle_beta 90.00
_cell_angle_gamma 120.00
loop_
_atom_site_label
_atom_site_type_symbol
_atom_site_fract_x
_atom_site_fract_y
_atom_site_fract_z
_atom_site_occupancy
Tm1 Tm 0.0000 0.0000 0.0946 1
Co1 Co 0.0000 0.0000 0.5000 1
Ni1 Ni 0.0384 0.5192 0.8786 1
Ni2 Ni 0.0691 0.5346 0.3062 1
B1 B 0.0000 0.5000 0.0000 1
```